DFT (GGA-PBE) results for an optimized crystal structure of CsK2IO6.

The value obtained for the formation energy without anion corrections is -0.9030 eV/atom. As for the space group: No. 148.

Unit cell a=6.5004 b=6.5004 c=6.5004 alpha=62.38 beta=62.38 gamma=62.38
Positions (direct):
Cs (0.0000, 0.0000, 0.0000)
K (0.2666, 0.2666, 0.2666)
K (0.7334, 0.7334, 0.7334)
I (0.5000, 0.5000, 0.5000)
O (0.2062, 0.4200, 0.6630)
O (0.3370, 0.7938, 0.5800)
O (0.4200, 0.6630, 0.2062)
O (0.5800, 0.3370, 0.7938)
O (0.6630, 0.2062, 0.4200)
O (0.7938, 0.5800, 0.3370)